Density functional theory data (PBE+U) for a geometry-optimized LiV2P2O8 structure.

a = 8.9923 Å, b = 6.5795 Å, c = 4.8902 Å
α = 90.00°, β = 90.00°, γ = 90.13°
Each line ends with the local moment (μB).
Fractional coordinates of all 26 atoms:
Li 0.3345 0.2587 0.9766  0.00
Li 0.8345 0.2587 0.5234  0.00
V 0.0007 0.9921 0.0002  1.94
V 0.9995 0.5061 0.0018  2.73
V 0.5007 0.9921 0.4998  1.94
V 0.4995 0.5061 0.4982  2.73
P 0.1764 0.2477 0.4766  0.01
P 0.3223 0.7510 0.9867  0.01
P 0.6764 0.2477 0.0234  0.01
P 0.8224 0.7510 0.5133  0.01
O 0.1120 0.0602 0.3317  -0.01
O 0.1284 0.4456 0.3489  0.00
O 0.1299 0.2360 0.7881  -0.01
O 0.1484 0.7623 0.9564  -0.01
O 0.3526 0.2355 0.4411  -0.01
O 0.3787 0.7632 0.2887  -0.01
O 0.3702 0.5489 0.8589  0.00
O 0.3834 0.9427 0.8359  -0.01
O 0.6120 0.0602 0.1683  -0.01
O 0.6284 0.4456 0.1511  0.00
O 0.6300 0.2360 0.7119  -0.01
O 0.6485 0.7623 0.5436  -0.01
O 0.8527 0.2355 0.0589  -0.01
O 0.8788 0.7632 0.2114  -0.01
O 0.8703 0.5489 0.6411  0.00
O 0.8834 0.9427 0.6641  -0.01

## Properties
Symmetry: No. 7
Magnetic moment in μB/atom: 0.385
Energy relative to the lowest polymorph listed for this composition in meV per atom: 18